## Ba3SbCl3 (PBE)

Data for a relaxed Ba3SbCl3 crystal.

extended XYZ file:
```
14
Lattice="8.8019 1.0397 3.3472 2.6117 8.4695 3.3472 1.6341 1.3615 9.5370" Properties=species:S:1:pos:R:3 pbc="T T T"
Cl 9.5143 7.9269 9.7433
Cl 7.5415 2.5525 3.3472
Cl 4.6902 7.6361 8.1157
Cl 8.3574 3.2345 8.1157
Cl 3.8720 6.9567 3.3472
Cl 3.5333 2.9438 6.4881
Ba 12.5392 10.4470 13.8750
Ba 0.5085 0.4236 2.3563
Ba 7.4067 9.3150 7.3145
Ba 2.5485 5.2674 8.9169
Ba 10.4992 5.6033 7.3145
Ba 5.6409 1.5556 8.9169
Sb 4.6566 3.8796 11.1628
Sb 8.3911 6.9910 5.0686
```

* ΔE_f (raw): -1.912 eV per atom
* total energy: -57.63 eV/cell